A plane-wave DFT calculation with GGA-PBE was carried out for a relaxed structure of TbCu8Ag3.

**DFT total energy**: -0.2862 Ry per atom
**SG**: R3m

Cell and atoms, written as CIF:
```
data_TbCu8Ag3
_space_group_name_H-M_alt 'P 1'
_space_group_IT_number 1
_cell_length_a 8.687
_cell_length_b 8.687
_cell_length_c 8.687
_cell_angle_alpha 33.45
_cell_angle_beta 33.45
_cell_angle_gamma 33.45
loop_
_space_group_symop_operation_xyz
'x,y,z'
loop_
_atom_site_label
_atom_site_type_symbol
_atom_site_fract_x
_atom_site_fract_y
_atom_site_fract_z
_atom_site_occupancy
Tb1 Tb 0.000 0.000 0.000 1
Cu1 Cu 0.062 0.062 0.560 1
Cu2 Cu 0.062 0.560 0.062 1
Cu3 Cu 0.067 0.565 0.565 1
Cu4 Cu 0.312 0.312 0.312 1
Cu5 Cu 0.560 0.062 0.062 1
Cu6 Cu 0.565 0.067 0.565 1
Cu7 Cu 0.565 0.565 0.067 1
Cu8 Cu 0.813 0.813 0.813 1
Ag1 Ag 0.127 0.127 0.127 1
Ag2 Ag 0.500 0.500 0.500 1
Ag3 Ag 0.620 0.620 0.620 1
```